1.
Here is a relaxed SrGa3O crystal from Alexandria. Energies are from GGA-PBE.

The structure in extended XYZ format:
```
5
Lattice="-3.1430 -3.3039 -3.7486 4.4270 -3.8948 -0.2790 -2.3172 -2.9598 4.5515" Properties=species:S:1:pos:R:3 pbc="T T T"
Sr 0.0000 0.0000 0.0000
O -0.5166 -5.0793 0.2620
Ga 2.2135 -1.9474 -0.1395
Ga -1.1586 -1.4799 2.2758
Ga -1.5715 -1.6520 -1.8743
```

Total moment = 0.000 μB/atom
ΔE_f (raw) = 1.272 eV per atom
SG = No. 221
E = -9.362 eV per cell
Volume = 41.1 Å³/atom



2.
Here is a relaxed PrTmOsO6 crystal from Alexandria. Energies are from GGA-PBE.

The structure in extended XYZ format:
```
18
Lattice="5.4881 0.0000 0.0000 -2.7440 4.7528 0.0000 0.0000 0.0000 10.0703" Properties=species:S:1:pos:R:3 pbc="T T T"
Pr 0.0000 0.0000 0.0000
Pr 0.0000 0.0000 5.0351
Tm 0.0000 3.1685 2.5176
Tm 2.7440 1.5843 7.5527
Os 2.7440 1.5843 2.5176
Os 0.0000 3.1685 7.5527
O 1.9165 2.9621 1.4161
O 4.3510 1.6120 1.4161
O -0.7795 4.5741 6.4512
O -1.6070 3.1408 8.6542
O 1.1371 1.6120 3.6191
O 3.5715 2.9621 3.6191
O 0.7795 4.5741 8.6542
O 3.5235 0.1787 3.6191
O -0.8275 1.7907 6.4512
O 1.9646 0.1787 1.4161
O 1.6070 3.1408 6.4512
O 0.8275 1.7907 8.6542
```

Total moment = 0.223 μB/atom
ΔE_f (raw) = -2.363 eV per atom
SG = No. 163
E = -142.999 eV per cell
Volume = 14.6 Å³/atom



3.
Here is a relaxed Sc5In2Co2Tc crystal from Alexandria. Energies are from GGA-PBE.

The structure in extended XYZ format:
```
20
Lattice="3.3108 0.0000 0.0000 0.0000 10.7208 0.0000 0.0000 0.0000 10.7208" Properties=species:S:1:pos:R:3 pbc="T T T"
Sc 1.6554 2.1367 0.7027
Sc 1.6554 8.5840 10.0180
Sc 1.6554 0.7027 8.5840
Sc 1.6554 7.4971 4.6576
Sc 1.6554 10.0180 2.1367
Sc 1.6554 3.2236 6.0631
Sc 1.6554 6.0631 7.4971
Sc 1.6554 4.6576 3.2236
Sc 1.6554 5.3604 0.0000
Sc 1.6554 0.0000 5.3604
In 0.0000 7.2598 1.8994
In 0.0000 3.4610 8.8214
In 0.0000 1.8994 3.4610
In 0.0000 8.8214 7.2598
Co 0.0000 1.3913 6.7517
Co 0.0000 9.3295 3.9691
Co 0.0000 6.7517 9.3295
Co 0.0000 3.9691 1.3913
Tc 0.0000 0.0000 0.0000
Tc 0.0000 5.3604 5.3604
```

Total moment = 0.000 μB/atom
SG = No. 127
E = -128.947 eV per cell
Volume = 19.0 Å³/atom



4.
Here is a relaxed Ce3Co3Ge2 crystal from Alexandria. Energies are from GGA-PBE.

The structure in extended XYZ format:
```
16
Lattice="4.1915 0.0000 0.0000 -2.0957 5.4380 0.0000 0.0000 0.0000 12.7944" Properties=species:S:1:pos:R:3 pbc="T T T"
Ce 2.0957 4.6134 4.9746
Ce 0.0000 0.8245 11.3718
Ce 2.0957 4.6134 1.4227
Ce 0.0000 0.8245 7.8199
Ce 2.0957 1.4219 3.1986
Ce 0.0000 4.0160 9.5958
Co 2.0957 1.2101 5.7208
Co 0.0000 4.2279 12.1180
Co 2.0957 1.2101 0.6764
Co 0.0000 4.2279 7.0737
Co 0.0000 3.5806 3.1986
Co 2.0957 1.8574 9.5958
Ge 2.0957 3.0586 11.6749
Ge 0.0000 2.3794 5.2777
Ge 2.0957 3.0586 7.5167
Ge 0.0000 2.3794 1.1195
```

Total moment = 0.001 μB/atom
SG = No. 63
E = -104.013 eV per cell
Volume = 18.2 Å³/atom



5.
Here is a relaxed Be2ReMo crystal from Alexandria. Energies are from GGA-PBE.

The structure in extended XYZ format:
```
4
Lattice="3.6956 0.0000 0.0000 0.0000 2.6002 0.0100 0.0000 1.4106 5.1175" Properties=species:S:1:pos:R:3 pbc="T T T"
Re 1.8478 3.0081 3.8456
Mo 1.8478 1.0027 1.2819
Be 0.0000 1.4392 5.0254
Be 0.0000 1.9768 2.6559
```

Total moment = 0.000 μB/atom
SG = No. 10
E = -30.361 eV per cell
Volume = 12.3 Å³/atom



6.
Here is a relaxed La3Sm3YTe8 crystal from Alexandria. Energies are from GGA-PBE.

The structure in extended XYZ format:
```
15
Lattice="8.9491 0.0004 0.0002 -4.4743 7.7500 -0.0272 0.0000 -5.1410 7.4083" Properties=species:S:1:pos:R:3 pbc="T T T"
La 0.0000 0.0000 0.0000
La -2.2371 3.8750 -0.0136
La 2.2374 3.8752 -0.0135
Sm 4.4746 -2.5703 3.7042
Sm 2.2374 1.3047 3.6906
Sm -2.2371 1.3045 3.6905
Y 0.0000 -2.5705 3.7041
Te 0.0002 2.5901 1.9028
Te 4.4747 0.0193 5.4784
Te 4.4747 2.5728 1.8920
Te 0.0002 0.0365 5.4892
Te 6.6969 -1.2762 1.9056
Te -2.2220 3.8855 5.4756
Te 2.2523 -1.2763 1.9055
Te 2.2226 3.8857 5.4757
```

Total moment = 0.000 μB/atom
ΔE_f (raw) = -1.508 eV per atom
SG = No. 166
E = -83.155 eV per cell
Volume = 34.2 Å³/atom



7.
Here is a relaxed NaFeHg2Os crystal from Alexandria. Energies are from GGA-PBE.

The structure in extended XYZ format:
```
5
Lattice="-0.0588 -0.8626 -4.8128 -1.2895 -4.7915 0.8745 -4.7266 1.2419 -0.1648" Properties=species:S:1:pos:R:3 pbc="T T T"
Na 0.0000 0.0000 0.0000
Os -0.6447 -2.3957 0.4373
Hg -2.3633 0.6210 -0.0824
Hg -0.0294 -0.4313 -2.4064
Fe -3.0375 -2.2060 -2.0515
```

Total moment = 1.031 μB/atom
SG = No. 123
E = -11.857 eV per cell
Volume = 24.1 Å³/atom



8.
Here is a relaxed LaAl2RuO crystal from Alexandria. Energies are from GGA-PBE.

The structure in extended XYZ format:
```
5
Lattice="-0.8176 4.3139 -1.2227 -3.8331 0.0936 2.8936 2.6225 1.4682 3.4264" Properties=species:S:1:pos:R:3 pbc="T T T"
Ru 0.0000 0.0000 0.0000
Al 1.3112 0.7341 1.7132
Al -0.4088 2.1570 -0.6113
O -1.9165 0.0468 1.4468
La -1.0141 2.9378 2.5487
```

Total moment = 0.000 μB/atom
ΔE_f (raw) = -0.209 eV per atom
SG = No. 123
E = -27.694 eV per cell
Volume = 20.0 Å³/atom



9.
Here is a relaxed Sm2Y7Sc2 crystal from Alexandria. Energies are from GGA-PBE.

The structure in extended XYZ format:
```
11
Lattice="-3.5117 -0.2327 0.0102 5.2920 0.3446 8.4334 2.7743 11.7439 7.9752" Properties=species:S:1:pos:R:3 pbc="T T T"
Sm 1.2163 8.5755 7.3454
Sm 3.3383 3.2803 9.0734
Y 1.1570 9.6330 10.3744
Y 4.8144 7.7577 12.9342
Y 3.3977 2.2227 6.0444
Y -0.2598 4.0980 3.4846
Y 1.4424 5.1579 6.6390
Y 0.0000 0.0000 0.0000
Y 3.1122 6.6979 9.7798
Sc 2.8614 10.6630 13.1564
Sc 1.6933 1.1928 3.2624
```

Total moment = 0.000 μB/atom
SG = No. 2
E = -66.752 eV per cell
Volume = 31.2 Å³/atom



10.
Here is a relaxed Li7LaCd5 crystal from Alexandria. Energies are from GGA-PBE.

The structure in extended XYZ format:
```
13
Lattice="-5.6606 -0.7258 -0.7809 -1.6105 -3.2023 -6.5930 -2.4613 -6.5579 2.6930" Properties=species:S:1:pos:R:3 pbc="T T T"
Li -5.1083 -3.8666 -1.8653
Li -4.6265 -6.6060 -2.8110
Li -7.8141 -6.1422 -1.3803
Li -7.5639 -5.1554 -4.1112
Li -2.4855 -2.3235 -1.0673
Li -4.6322 -4.2656 -4.9453
Li -5.1115 -6.1562 0.2866
La -4.0762 -9.7355 -3.8915
Cd -4.0475 -3.5862 0.8872
Cd -1.2386 -3.2260 1.2747
Cd -3.6366 -1.9656 -3.5975
Cd -0.8277 -1.6055 -3.2099
Cd -7.2259 -8.2819 -3.6548
```

Total moment = 0.000 μB/atom
SG = No. 44
E = -25.472 eV per cell
Volume = 21.3 Å³/atom



11.
Here is a relaxed PmDyTlHg crystal from Alexandria. Energies are from GGA-PBE.

The structure in extended XYZ format:
```
4
Lattice="-2.5684 2.3393 1.5261 -1.9206 0.0262 -3.2724 -4.0922 -6.0284 2.3534" Properties=species:S:1:pos:R:3 pbc="T T T"
Pm -2.7107 0.4960 -0.6051
Dy -4.6824 -2.4086 0.5289
Tl -3.4662 -5.1061 1.9934
Hg -1.5194 -2.2383 0.8738
```

Total moment = 0.140 μB/atom
SG = No. 99
E = -13.714 eV per cell
Volume = 27.6 Å³/atom



D(E_F), record by record: 5.037, 9.500, 16.854, 19.953, 2.022, 8.079, 3.924, 3.748, 20.581, 6.866, 4.483 states/eV per cell